Here is a relaxed Y4CuNiN2 crystal from OQMD via LeMat-Bulk. Energies are from GGA-PBE.

Computed properties:
Total magnetization in μB per cell: 0.327
Total energy in eV per atom: -7.257

Geometry as POSCAR:
```
Y4CuNiN2
1.0
3.525 0.000 0.000
-1.762 3.053 0.000
0.000 0.000 13.581
Y Cu Ni N
4 1 1 2
Direct
0.000 0.000 0.144
0.000 0.000 0.856
0.333 0.667 0.346
0.333 0.667 0.654
0.000 0.000 0.500
0.333 0.667 0.000
0.667 0.333 0.244
0.667 0.333 0.756
```